## TbCoPO (GGA+U)

Data for a relaxed TbCoPO crystal.

Cell and atoms, written as extended XYZ:
```
8
Lattice="4.341 0.000 0.000 0.000 4.039 0.000 0.000 0.000 6.723" Properties=species:S:1:pos:R:3 pbc="T T T"
P 0.000 3.005 5.211
P 0.000 1.034 1.850
Co 0.000 3.054 2.950
Co 0.000 0.985 6.311
O 2.170 3.055 2.952
O 2.170 0.984 6.313
Tb 2.170 3.007 0.678
Tb 2.170 1.032 4.039
```

- Space-group type: Pmc2_1 (26)
- Raw total energy: -6.44 eV per atom